<i>
# BaSc3Re, optimized geometry, DFT PBE
data_BaSc3Re
_space_group_name_H-M_alt 'P 1'
_space_group_IT_number 1
_cell_length_a 5.0651
_cell_length_b 5.0651
_cell_length_c 5.0651
_cell_angle_alpha 90.00
_cell_angle_beta 90.00
_cell_angle_gamma 90.00
loop_
_space_group_symop_operation_xyz
'x,y,z'
loop_
_atom_site_label
_atom_site_type_symbol
_atom_site_fract_x
_atom_site_fract_y
_atom_site_fract_z
_atom_site_occupancy
Ba1 Ba 0.0000 0.0000 0.0000 1
Sc1 Sc 0.0000 0.0000 0.5000 1
Sc2 Sc 0.0000 0.5000 0.0000 1
Sc3 Sc 0.5000 0.0000 0.0000 1
Re1 Re 0.5000 0.5000 0.5000 1
# Calculated volume = 129.9 Å³ per cell

=====

<ii>
# BaSc3Re, optimized geometry, DFT PBE
data_BaSc3Re
_space_group_name_H-M_alt 'P 1'
_space_group_IT_number 1
_cell_length_a 5.2633
_cell_length_b 5.2633
_cell_length_c 5.2633
_cell_angle_alpha 90.00
_cell_angle_beta 90.00
_cell_angle_gamma 90.00
loop_
_space_group_symop_operation_xyz
'x,y,z'
loop_
_atom_site_label
_atom_site_type_symbol
_atom_site_fract_x
_atom_site_fract_y
_atom_site_fract_z
_atom_site_occupancy
Ba1 Ba 0.0000 0.0000 0.0000 1
Sc1 Sc 0.0000 0.5000 0.5000 1
Sc2 Sc 0.5000 0.0000 0.5000 1
Sc3 Sc 0.5000 0.5000 0.0000 1
Re1 Re 0.5000 0.5000 0.5000 1
# Calculated volume = 145.8 Å³ per cell

=====

In order of decreasing stability: <ii>, <i>.

=====

<i>
# BaReSn3, optimized geometry, DFT PBE
data_BaReSn3
_space_group_name_H-M_alt 'P 1'
_space_group_IT_number 1
_cell_length_a 5.2936
_cell_length_b 5.2936
_cell_length_c 5.2936
_cell_angle_alpha 90.00
_cell_angle_beta 90.00
_cell_angle_gamma 90.00
loop_
_space_group_symop_operation_xyz
'x,y,z'
loop_
_atom_site_label
_atom_site_type_symbol
_atom_site_fract_x
_atom_site_fract_y
_atom_site_fract_z
_atom_site_occupancy
Ba1 Ba 0.0000 0.0000 0.0000 1
Re1 Re 0.5000 0.5000 0.5000 1
Sn1 Sn 0.0000 0.5000 0.5000 1
Sn2 Sn 0.5000 0.0000 0.5000 1
Sn3 Sn 0.5000 0.5000 0.0000 1
# Calculated volume = 148.3 Å³ per cell

=====

<ii>
# BaReSn3, optimized geometry, DFT PBE
data_BaReSn3
_space_group_name_H-M_alt 'P 1'
_space_group_IT_number 1
_cell_length_a 5.8634
_cell_length_b 5.8634
_cell_length_c 5.8634
_cell_angle_alpha 90.00
_cell_angle_beta 90.00
_cell_angle_gamma 90.00
loop_
_space_group_symop_operation_xyz
'x,y,z'
loop_
_atom_site_label
_atom_site_type_symbol
_atom_site_fract_x
_atom_site_fract_y
_atom_site_fract_z
_atom_site_occupancy
Ba1 Ba 0.0000 0.0000 0.0000 1
Re1 Re 0.5000 0.5000 0.5000 1
Sn1 Sn 0.0000 0.0000 0.5000 1
Sn2 Sn 0.0000 0.5000 0.0000 1
Sn3 Sn 0.5000 0.0000 0.0000 1
# Calculated volume = 201.6 Å³ per cell

=====

In order of decreasing stability: <i>, <ii>.

=====

<i>
# BaRe3Sn, optimized geometry, DFT PBE
data_BaRe3Sn
_space_group_name_H-M_alt 'P 1'
_space_group_IT_number 1
_cell_length_a 5.0789
_cell_length_b 5.0789
_cell_length_c 5.0789
_cell_angle_alpha 90.00
_cell_angle_beta 90.00
_cell_angle_gamma 90.00
loop_
_space_group_symop_operation_xyz
'x,y,z'
loop_
_atom_site_label
_atom_site_type_symbol
_atom_site_fract_x
_atom_site_fract_y
_atom_site_fract_z
_atom_site_occupancy
Ba1 Ba 0.0000 0.0000 0.0000 1
Re1 Re 0.0000 0.0000 0.5000 1
Re2 Re 0.0000 0.5000 0.0000 1
Re3 Re 0.5000 0.0000 0.0000 1
Sn1 Sn 0.5000 0.5000 0.5000 1
# Calculated volume = 131.0 Å³ per cell

=====

<ii>
# BaRe3Sn, optimized geometry, DFT PBE
data_BaRe3Sn
_space_group_name_H-M_alt 'P 1'
_space_group_IT_number 1
_cell_length_a 5.0583
_cell_length_b 5.0583
_cell_length_c 5.0583
_cell_angle_alpha 90.00
_cell_angle_beta 90.00
_cell_angle_gamma 90.00
loop_
_space_group_symop_operation_xyz
'x,y,z'
loop_
_atom_site_label
_atom_site_type_symbol
_atom_site_fract_x
_atom_site_fract_y
_atom_site_fract_z
_atom_site_occupancy
Ba1 Ba 0.0000 0.0000 0.0000 1
Re1 Re 0.0000 0.5000 0.5000 1
Re2 Re 0.5000 0.0000 0.5000 1
Re3 Re 0.5000 0.5000 0.0000 1
Sn1 Sn 0.5000 0.5000 0.5000 1
# Calculated volume = 129.4 Å³ per cell

=====

In order of decreasing stability: <ii>, <i>.

=====

<i>
# BaSrRe2, optimized geometry, DFT PBE
data_BaSrRe2
_space_group_name_H-M_alt 'P 1'
_space_group_IT_number 1
_cell_length_a 6.1669
_cell_length_b 6.1669
_cell_length_c 6.1669
_cell_angle_alpha 141.30
_cell_angle_beta 141.30
_cell_angle_gamma 55.88
loop_
_space_group_symop_operation_xyz
'x,y,z'
loop_
_atom_site_label
_atom_site_type_symbol
_atom_site_fract_x
_atom_site_fract_y
_atom_site_fract_z
_atom_site_occupancy
Ba1 Ba 0.0000 0.0000 0.0000 1
Sr1 Sr 0.5000 0.5000 0.0000 1
Re1 Re 0.2500 0.7500 0.5000 1
Re2 Re 0.7500 0.2500 0.5000 1
# Calculated volume = 91.0 Å³ per cell

=====

<ii>
# BaSrRe2, optimized geometry, DFT PBE
data_BaSrRe2
_space_group_name_H-M_alt 'P 1'
_space_group_IT_number 1
_cell_length_a 4.1750
_cell_length_b 4.1750
_cell_length_c 6.8285
_cell_angle_alpha 90.00
_cell_angle_beta 90.00
_cell_angle_gamma 90.00
loop_
_space_group_symop_operation_xyz
'x,y,z'
loop_
_atom_site_label
_atom_site_type_symbol
_atom_site_fract_x
_atom_site_fract_y
_atom_site_fract_z
_atom_site_occupancy
Ba1 Ba 0.0000 0.0000 0.0000 1
Sr1 Sr 0.0000 0.0000 0.5000 1
Re1 Re 0.5000 0.5000 0.3362 1
Re2 Re 0.5000 0.5000 0.6638 1
# Calculated volume = 119.0 Å³ per cell

=====

In order of decreasing stability: <ii>, <i>.

=====

<i>
# BaSrRe2, optimized geometry, DFT PBE
data_BaSrRe2
_space_group_name_H-M_alt 'P 1'
_space_group_IT_number 1
_cell_length_a 6.1750
_cell_length_b 6.1750
_cell_length_c 7.4992
_cell_angle_alpha 123.28
_cell_angle_beta 123.28
_cell_angle_gamma 37.19
loop_
_space_group_symop_operation_xyz
'x,y,z'
loop_
_atom_site_label
_atom_site_type_symbol
_atom_site_fract_x
_atom_site_fract_y
_atom_site_fract_z
_atom_site_occupancy
Ba1 Ba 0.0000 0.0000 0.0000 1
Sr1 Sr 0.5000 0.5000 0.5000 1
Re1 Re 0.2607 0.2607 0.5979 1
Re2 Re 0.7393 0.7393 0.4021 1
# Calculated volume = 140.9 Å³ per cell

=====

<ii>
# BaSrRe2, optimized geometry, DFT PBE
data_BaSrRe2
_space_group_name_H-M_alt 'P 1'
_space_group_IT_number 1
_cell_length_a 2.9048
_cell_length_b 2.9048
_cell_length_c 10.9035
_cell_angle_alpha 90.00
_cell_angle_beta 90.00
_cell_angle_gamma 90.00
loop_
_space_group_symop_operation_xyz
'x,y,z'
loop_
_atom_site_label
_atom_site_type_symbol
_atom_site_fract_x
_atom_site_fract_y
_atom_site_fract_z
_atom_site_occupancy
Ba1 Ba 0.0000 0.0000 0.0000 1
Sr1 Sr 0.0000 0.0000 0.5000 1
Re1 Re 0.5000 0.5000 0.2608 1
Re2 Re 0.5000 0.5000 0.7392 1
# Calculated volume = 92.0 Å³ per cell

=====

<iii>
# BaSrRe2, optimized geometry, DFT PBE
data_BaSrRe2
_space_group_name_H-M_alt 'P 1'
_space_group_IT_number 1
_cell_length_a 6.7445
_cell_length_b 6.7445
_cell_length_c 6.7445
_cell_angle_alpha 99.98
_cell_angle_beta 99.98
_cell_angle_gamma 130.81
loop_
_space_group_symop_operation_xyz
'x,y,z'
loop_
_atom_site_label
_atom_site_type_symbol
_atom_site_fract_x
_atom_site_fract_y
_atom_site_fract_z
_atom_site_occupancy
Ba1 Ba 0.0000 0.0000 0.0000 1
Ba2 Ba 0.7500 0.2500 0.5000 1
Sr1 Sr 0.2500 0.7500 0.5000 1
Sr2 Sr 0.5000 0.5000 0.0000 1
Re1 Re 0.1265 0.6250 0.0015 1
Re2 Re 0.3750 0.3765 0.5015 1
Re3 Re 0.6235 0.1250 0.9985 1
Re4 Re 0.8750 0.8735 0.4985 1
# Calculated volume = 211.1 Å³ per cell

=====

<iv>
# BaSrRe2, optimized geometry, DFT PBE
data_BaSrRe2
_space_group_name_H-M_alt 'P 1'
_space_group_IT_number 1
_cell_length_a 3.0406
_cell_length_b 5.2496
_cell_length_c 6.8699
_cell_angle_alpha 90.00
_cell_angle_beta 90.33
_cell_angle_gamma 90.00
loop_
_space_group_symop_operation_xyz
'x,y,z'
loop_
_atom_site_label
_atom_site_type_symbol
_atom_site_fract_x
_atom_site_fract_y
_atom_site_fract_z
_atom_site_occupancy
Ba1 Ba 0.0000 0.0000 0.0000 1
Sr1 Sr 0.0000 0.0000 0.5000 1
Re1 Re 0.4978 0.5000 0.3331 1
Re2 Re 0.5022 0.5000 0.6669 1
# Calculated volume = 109.7 Å³ per cell

=====

In order of decreasing stability: <i>, <iv>, <ii>, <iii>.

=====

<i>
# BaSrRe2, optimized geometry, DFT PBE
data_BaSrRe2
_space_group_name_H-M_alt 'P 1'
_space_group_IT_number 1
_cell_length_a 5.0899
_cell_length_b 5.0899
_cell_length_c 5.0899
_cell_angle_alpha 120.09
_cell_angle_beta 120.09
_cell_angle_gamma 89.84
loop_
_space_group_symop_operation_xyz
'x,y,z'
loop_
_atom_site_label
_atom_site_type_symbol
_atom_site_fract_x
_atom_site_fract_y
_atom_site_fract_z
_atom_site_occupancy
Ba1 Ba 0.0000 0.0000 0.0000 1
Sr1 Sr 0.7500 0.2500 0.5000 1
Re1 Re 0.2500 0.7500 0.5000 1
Re2 Re 0.5000 0.5000 0.0000 1
# Calculated volume = 93.1 Å³ per cell

=====

<ii>
# BaSrRe2, optimized geometry, DFT PBE
data_BaSrRe2
_space_group_name_H-M_alt 'P 1'
_space_group_IT_number 1
_cell_length_a 3.9196
_cell_length_b 4.2668
_cell_length_c 5.4371
_cell_angle_alpha 90.00
_cell_angle_beta 90.00
_cell_angle_gamma 90.00
loop_
_space_group_symop_operation_xyz
'x,y,z'
loop_
_atom_site_label
_atom_site_type_symbol
_atom_site_fract_x
_atom_site_fract_y
_atom_site_fract_z
_atom_site_occupancy
Ba1 Ba 0.0000 0.0000 0.0000 1
Sr1 Sr 0.5000 0.5000 0.0000 1
Re1 Re 0.0000 0.5000 0.5000 1
Re2 Re 0.5000 0.0000 0.5000 1
# Calculated volume = 90.9 Å³ per cell

=====

<iii>
# BaSrRe2, optimized geometry, DFT PBE
data_BaSrRe2
_space_group_name_H-M_alt 'P 1'
_space_group_IT_number 1
_cell_length_a 6.5423
_cell_length_b 6.5423
_cell_length_c 6.5423
_cell_angle_alpha 146.03
_cell_angle_beta 130.57
_cell_angle_gamma 61.34
loop_
_space_group_symop_operation_xyz
'x,y,z'
loop_
_atom_site_label
_atom_site_type_symbol
_atom_site_fract_x
_atom_site_fract_y
_atom_site_fract_z
_atom_site_occupancy
Ba1 Ba 0.0000 0.0000 0.0000 1
Sr1 Sr 0.7193 0.2193 0.5000 1
Re1 Re 0.2857 0.7857 0.5000 1
Re2 Re 0.4101 0.4101 0.0000 1
# Calculated volume = 117.7 Å³ per cell

=====

In order of decreasing stability: <iii>, <ii>, <i>.